Computed, not measured: NaYTc after structural relaxation at the PBE level of DFT.

Geometry as CIF:
```
data_NaYTc
_space_group_name_H-M_alt 'F -4 3 m'
_space_group_IT_number 216
_space_group_name_Hall 'F -4 2 3'
_cell_length_a 6.808
_cell_length_b 6.808
_cell_length_c 6.808
_cell_angle_alpha 90.00
_cell_angle_beta 90.00
_cell_angle_gamma 90.00
loop_
_atom_site_label
_atom_site_type_symbol
_atom_site_fract_x
_atom_site_fract_y
_atom_site_fract_z
Na1 Na 0.000 0.000 0.000
Y1 Y 0.250 0.250 0.250
Tc1 Tc 0.000 0.000 0.500
```

Results
**Energy above the most stable polymorph in this dataset**: 0.0273 eV per atom
**Total moment**: 1.35 μB/f.u.
**Crystal system**: cubic

Computed, not measured: MgCuSnW after structural relaxation at the PBE level of DFT.

Geometry as CIF:
```
data_MgCuSnW
_space_group_name_H-M_alt 'F -4 3 m'
_space_group_IT_number 216
_space_group_name_Hall 'F -4 2 3'
_cell_length_a 6.524
_cell_length_b 6.524
_cell_length_c 6.524
_cell_angle_alpha 90.00
_cell_angle_beta 90.00
_cell_angle_gamma 90.00
loop_
_atom_site_label
_atom_site_type_symbol
_atom_site_fract_x
_atom_site_fract_y
_atom_site_fract_z
Mg1 Mg 0.000 0.000 0.000
Cu1 Cu 0.000 0.000 0.500
Sn1 Sn 0.250 0.250 0.250
W1 W 0.250 0.250 0.750
```

Results
**Energy above the most stable polymorph in this dataset**: 0.1902 eV per atom
**Total moment**: 1.52 μB/f.u.
**Crystal system**: cubic

Computed, not measured: CsNb3Te5 after structural relaxation at the PBE level of DFT.

Geometry as CIF:
```
data_CsNb3Te5
_space_group_name_H-M_alt 'P 6/m m m'
_space_group_IT_number 191
_space_group_name_Hall '-P 6 2'
_cell_length_a 6.0695
_cell_length_b 6.0695
_cell_length_c 8.8960
_cell_angle_alpha 90.00
_cell_angle_beta 90.00
_cell_angle_gamma 120.00
loop_
_atom_site_label
_atom_site_type_symbol
_atom_site_fract_x
_atom_site_fract_y
_atom_site_fract_z
Cs1 Cs 0.0000 0.0000 0.0000
Nb1 Nb 0.0000 0.5000 0.5000
Te1 Te 0.0000 0.0000 0.5000
Te2 Te 0.3333 0.6667 0.2480
```

Results
**Total moment**: 0.10 μB/f.u.
**Crystal system**: hexagonal

Computed, not measured: Dy2ErAl3Cu2Pd after structural relaxation at the PBE level of DFT.

Geometry as CIF:
```
data_Dy2ErAl3Cu2Pd
_space_group_name_H-M_alt 'A m m 2'
_space_group_IT_number 38
_space_group_name_Hall 'A 2 -2'
_cell_length_a 4.081
_cell_length_b 12.153
_cell_length_c 7.005
_cell_angle_alpha 90.00
_cell_angle_beta 90.00
_cell_angle_gamma 90.00
loop_
_atom_site_label
_atom_site_type_symbol
_atom_site_fract_x
_atom_site_fract_y
_atom_site_fract_z
Dy1 Dy 0.000 0.209 0.000
Er1 Er 0.000 0.000 0.628
Al1 Al 0.500 0.000 0.970
Al2 Al 0.500 0.120 0.330
Cu1 Cu 0.500 0.165 0.709
Pd1 Pd 0.000 0.000 0.211
```

Results
**Total moment**: 0.00 μB/f.u.
**Crystal system**: orthorhombic

Computed, not measured: NdCO3F after structural relaxation at the PBE level of DFT.

Geometry as CIF:
```
data_NdCO3F
_space_group_name_H-M_alt 'P -6 2 c'
_space_group_IT_number 190
_space_group_name_Hall 'P -6c -2c'
_cell_length_a 6.9724
_cell_length_b 6.9724
_cell_length_c 9.6719
_cell_angle_alpha 90.00
_cell_angle_beta 90.00
_cell_angle_gamma 120.00
loop_
_atom_site_label
_atom_site_type_symbol
_atom_site_fract_x
_atom_site_fract_y
_atom_site_fract_z
Nd1 Nd 0.0000 0.3412 0.0000
C1 C 0.0287 0.7066 0.2500
O1 O 0.0621 0.6754 0.6340
O2 O 0.1062 0.3174 0.2500
F1 F 0.0000 0.0000 0.0000
F2 F 0.3333 0.6667 0.0562
```

Results
**Total moment**: 0.00 μB/f.u.
**Crystal system**: hexagonal

Computed, not measured: ScTaSiNi after structural relaxation at the PBE level of DFT.

Geometry as CIF:
```
data_ScTaSiNi
_space_group_name_H-M_alt 'F -4 3 m'
_space_group_IT_number 216
_space_group_name_Hall 'F -4 2 3'
_cell_length_a 6.253
_cell_length_b 6.253
_cell_length_c 6.253
_cell_angle_alpha 90.00
_cell_angle_beta 90.00
_cell_angle_gamma 90.00
loop_
_atom_site_label
_atom_site_type_symbol
_atom_site_fract_x
_atom_site_fract_y
_atom_site_fract_z
Sc1 Sc 0.000 0.000 0.000
Ta1 Ta 0.250 0.250 0.250
Si1 Si 0.000 0.000 0.500
Ni1 Ni 0.250 0.250 0.750
```

Results
**Energy above the most stable polymorph in this dataset**: 0.0000 eV per atom
**Total moment**: 0.06 μB/f.u.
**Crystal system**: cubic

Computed, not measured: RbCuHg after structural relaxation at the PBE level of DFT.

Geometry as CIF:
```
data_RbCuHg
_space_group_name_H-M_alt 'F -4 3 m'
_space_group_IT_number 216
_space_group_name_Hall 'F -4 2 3'
_cell_length_a 7.376
_cell_length_b 7.376
_cell_length_c 7.376
_cell_angle_alpha 90.00
_cell_angle_beta 90.00
_cell_angle_gamma 90.00
loop_
_atom_site_label
_atom_site_type_symbol
_atom_site_fract_x
_atom_site_fract_y
_atom_site_fract_z
Rb1 Rb 0.000 0.000 0.000
Cu1 Cu 0.250 0.250 0.750
Hg1 Hg 0.000 0.000 0.500
```

Results
**Energy above the most stable polymorph in this dataset**: 0.0000 eV per atom
**Crystal system**: cubic

Computed, not measured: MgScGeIr after structural relaxation at the PBE level of DFT.

Geometry as CIF:
```
data_MgScGeIr
_space_group_name_H-M_alt 'F -4 3 m'
_space_group_IT_number 216
_space_group_name_Hall 'F -4 2 3'
_cell_length_a 6.382
_cell_length_b 6.382
_cell_length_c 6.382
_cell_angle_alpha 90.00
_cell_angle_beta 90.00
_cell_angle_gamma 90.00
loop_
_atom_site_label
_atom_site_type_symbol
_atom_site_fract_x
_atom_site_fract_y
_atom_site_fract_z
Mg1 Mg 0.000 0.000 0.000
Sc1 Sc 0.250 0.250 0.250
Ge1 Ge 0.250 0.250 0.750
Ir1 Ir 0.000 0.000 0.500
```

Results
**Energy above the most stable polymorph in this dataset**: 0.0075 eV per atom
**Total moment**: 0.00 μB/f.u.
**Crystal system**: cubic

| no. | final energy (eV/atom) | V (Å³/atom) |
| --- | --- | --- |
| 1 | -4.692 | 26.29 |
| 2 | -4.796 | 17.35 |
| 3 | -5.678 | 31.54 |
| 4 | -4.764 | 19.30 |
| 5 | -7.789 | 11.31 |
| 6 | -7.240 | 15.28 |
| 7 | -1.417 | 33.44 |
| 8 | -5.862 | 16.25 |